*w*
Crystalline MgHgTeO at its relaxed geometry, computed with PBE.

a b c (Å): 6.8690 8.2064 6.6943
angles (deg): 90.00 90.00 90.00
Element x y z (fractional)
Hg  0.1135  0.1029  0.4469
Hg  0.6135  0.8971  0.4469
Hg  0.3865  0.1029  0.9469
Hg  0.8865  0.8971  0.9469
Mg  0.9616  0.3112  0.0539
Mg  0.4616  0.6888  0.0539
Mg  0.5384  0.3112  0.5539
Mg  0.0384  0.6888  0.5539
O  0.0798  0.1028  0.1060
O  0.5798  0.8972  0.1060
O  0.4202  0.1028  0.6060
O  0.9202  0.8972  0.6060
Te  0.5677  0.3612  0.1432
Te  0.0677  0.6388  0.1432
Te  0.9323  0.3612  0.6432
Te  0.4323  0.6388  0.6432



*x*
Crystalline MgHgTeO at its relaxed geometry, computed with PBE.

a b c (Å): 3.4843 3.4842 14.6881
angles (deg): 90.00 90.00 120.00
Element x y z (fractional)
Hg  0.0000  0.0000  0.4690
Hg  0.0000  0.0000  0.9690
Mg  0.3333  0.6667  0.2878
Mg  0.6667  0.3333  0.7878
O  0.0000  0.0000  0.3080
O  0.0000  0.0000  0.8080
Te  0.6667  0.3333  0.1229
Te  0.3333  0.6667  0.6229



Which structure wins on stability? *x* wins.